No. 1
Compound: Pm5Ru2Au
Source: Alexandria
Functional: PBE
Structure: relaxed

Lattice parameters (Å, degrees): 8.770 8.770 8.770 126.93 126.93 78.37
Element x y z (fractional)
Pm 0.000 0.000 0.000
Pm 0.026 0.526 0.824
Pm 0.202 0.026 0.500
Pm 0.298 0.798 0.824
Pm 0.474 0.298 0.500
Pm 0.500 0.500 0.000
Pm 0.526 0.702 0.500
Pm 0.702 0.202 0.176
Pm 0.798 0.974 0.500
Pm 0.974 0.474 0.176
Ru 0.139 0.361 0.500
Ru 0.361 0.861 0.221
Ru 0.639 0.139 0.779
Ru 0.861 0.639 0.500
Au 0.250 0.250 0.000
Au 0.750 0.750 0.000

Results
formation enthalpy at 0 K	-0.401	eV per atom
density of states at the Fermi level	7.07	states/eV/f.u.
uncorrected energy	-97.58	eV/cell


No. 2
Compound: Pm6RuAu
Source: Alexandria
Functional: PBE
Structure: relaxed

Lattice parameters (Å, degrees): 7.090 11.288 6.951 90.00 108.44 90.00
Element x y z (fractional)
Pm 0.222 0.178 0.240
Pm 0.222 0.822 0.240
Pm 0.247 0.500 0.230
Pm 0.253 0.000 0.770
Pm 0.278 0.322 0.760
Pm 0.278 0.678 0.760
Pm 0.722 0.322 0.240
Pm 0.722 0.678 0.240
Pm 0.747 0.000 0.230
Pm 0.753 0.500 0.770
Pm 0.778 0.178 0.760
Pm 0.778 0.822 0.760
Ru 0.000 0.000 0.000
Ru 0.500 0.500 0.000
Au 0.000 0.500 0.500
Au 0.500 0.000 0.500

Results
formation enthalpy at 0 K	-0.171	eV per atom
density of states at the Fermi level	9.12	states/eV/f.u.
uncorrected energy	-84.84	eV/cell